Entry 1:
LiUGa2Au4 | PBE | optimized geometry

Cell and atoms, written as POSCAR:
```
LiUGa2Au4
1.0
4.5207 0.0000 0.0000
2.2604 3.9151 0.0000
2.2604 1.3050 8.3748
Au Li Ga U
4 1 2 1
Direct
0.3920 0.3920 0.8241
0.6080 0.6080 0.1759
0.8672 0.8672 0.3983
0.1328 0.1328 0.6017
0.5000 0.5000 0.5000
0.2434 0.2434 0.2699
0.7566 0.7566 0.7301
0.0000 0.0000 0.0000
```

## Properties
The crystal system is trigonal. The value obtained for the size of the total moment is 2.37 μB/cell. Its symmetry is No. 166. The value obtained for the energy of formation from the pure elements is -315 meV per atom. The calculation puts the raw total energy at -34.884 eV/cell.

Entry 2:
LiY2Ga3Au4 | PBE | optimized geometry

Cell and atoms, written as POSCAR:
```
LiY2Ga3Au4
1.0
4.3094 0.0000 0.0000
0.0000 4.3094 0.0000
0.0000 0.0000 10.8116
Au Ga Y Li
4 3 2 1
Direct
0.0000 0.5000 0.3656
0.0000 0.0000 0.0000
0.5000 0.0000 0.6344
0.5000 0.5000 0.0000
0.0000 0.0000 0.5000
0.5000 0.0000 0.8640
0.0000 0.5000 0.1360
0.5000 0.0000 0.2389
0.0000 0.5000 0.7611
0.5000 0.5000 0.5000
```

## Properties
The crystal system is tetragonal. The value obtained for the size of the total moment is 0.00 μB/cell. Its symmetry is No. 115. The value obtained for the energy of formation from the pure elements is -601 meV per atom. The calculation puts the raw total energy at -43.045 eV/cell.

Entry 3:
LiYGa2Au5 | PBE | optimized geometry

Cell and atoms, written as POSCAR:
```
LiYGa2Au5
1.0
-3.9525 0.0359 2.1507
1.1575 -3.7568 2.1899
3.6474 4.9824 6.6197
Ga Y Au Li
2 1 5 1
Direct
0.5000 0.5000 0.8647
0.5000 0.5000 0.1353
0.0000 0.0000 0.5000
0.0000 0.5000 0.2754
0.5000 0.5000 0.5000
0.5000 0.0000 0.2754
0.0000 0.5000 0.7246
0.5000 0.0000 0.7246
0.0000 0.0000 0.0000
```

## Properties
The crystal system is tetragonal. The value obtained for the size of the total moment is 0.00 μB/cell. Its symmetry is No. 123. The value obtained for the energy of formation from the pure elements is -423 meV per atom. The calculation puts the raw total energy at -34.630 eV/cell.

Entry 4:
Li2YGa2Au2 | PBE | optimized geometry

Cell and atoms, written as POSCAR:
```
Li2YGa2Au2
1.0
-3.5500 1.3808 -2.4404
2.3049 -3.7040 -1.2556
-4.7008 -2.1627 5.6143
Li Y Ga Au
2 1 2 2
Direct
0.8608 0.7216 0.5760
0.1392 0.2784 0.4240
0.0000 0.0000 0.0000
0.5759 0.1518 0.7232
0.4241 0.8482 0.2768
0.2613 0.5225 0.7798
0.7387 0.4775 0.2202
```

## Properties
The crystal system is monoclinic. The value obtained for the size of the total moment is 0.00 μB/cell. Its symmetry is No. 12. The value obtained for the energy of formation from the pure elements is -610 meV per atom. The calculation puts the raw total energy at -27.171 eV/cell.

Entry 5:
LiZn2GaAu | PBE | optimized geometry

Cell and atoms, written as POSCAR:
```
LiZn2GaAu
1.0
4.1255 0.0000 0.0000
0.0000 5.6092 -0.6943
0.0000 -0.9376 7.7877
Ga Zn Li Au
2 4 2 2
Direct
0.2500 0.8865 0.8841
0.7500 0.1135 0.1159
0.7500 0.8722 0.4384
0.2500 0.9034 0.2317
0.2500 0.1278 0.5616
0.7500 0.0966 0.7683
0.2500 0.4331 0.3064
0.7500 0.5669 0.6936
0.7500 0.5766 0.1306
0.2500 0.4234 0.8694
```

## Properties
The crystal system is monoclinic. The value obtained for the size of the total moment is 0.00 μB/cell. Its symmetry is No. 11. The value obtained for the energy of formation from the pure elements is -184 meV per atom. The calculation puts the raw total energy at -23.369 eV/cell.

Entry 6:
LiZn2GaAu2 | PBE | optimized geometry

Cell and atoms, written as POSCAR:
```
LiZn2GaAu2
1.0
-3.6015 0.6941 -2.4727
2.6508 -2.1171 -4.4551
-2.6661 -7.2357 1.8522
Zn Au Li Ga
4 4 2 2
Direct
0.0000 0.7593 0.8416
0.0000 0.2593 0.1584
0.5000 0.0083 0.0007
0.5000 0.5083 0.9993
0.5000 0.2564 0.3295
0.5000 0.7564 0.6705
0.0000 0.2588 0.8249
0.0000 0.7588 0.1751
0.0000 0.0065 0.5002
0.0000 0.5065 0.4998
0.5000 0.2562 0.6554
0.5000 0.7562 0.3446
```

## Properties
The crystal system is orthorhombic. The value obtained for the size of the total moment is 0.00 μB/cell. Its symmetry is No. 26. The value obtained for the energy of formation from the pure elements is -301 meV per atom. The calculation puts the raw total energy at -31.695 eV/cell.

Which of these has the lowest energy of formation from the pure elements?
Li2YGa2Au2

Look up the size of the total moment of the first one.
2.37 μB/cell

What did the second record say?
LiY2Ga3Au4 | PBE | optimized geometry

Cell and atoms, written as POSCAR:
```
LiY2Ga3Au4
1.0
4.3094 0.0000 0.0000
0.0000 4.3094 0.0000
0.0000 0.0000 10.8116
Au Ga Y Li
4 3 2 1
Direct
0.0000 0.5000 0.3656
0.0000 0.0000 0.0000
0.5000 0.0000 0.6344
0.5000 0.5000 0.0000
0.0000 0.0000 0.5000
0.5000 0.0000 0.8640
0.0000 0.5000 0.1360
0.5000 0.0000 0.2389
0.0000 0.5000 0.7611
0.5000 0.5000 0.5000
```

## Properties
The crystal system is tetragonal. The value obtained for the size of the total moment is 0.00 μB/cell. Its symmetry is No. 115. The value obtained for the energy of formation from the pure elements is -601 meV per atom. The calculation puts the raw total energy at -43.045 eV/cell.